--- one ---
Below is a relaxed LiCd2Pd crystal, with properties calculated at the GGA-PBE level.

```
data_LiCd2Pd
_chemical_formula_sum 'Li1 Cd2 Pd1'
_cell_length_a 3.371
_cell_length_b 3.371
_cell_length_c 6.174
_cell_angle_alpha 90.00
_cell_angle_beta 90.00
_cell_angle_gamma 90.00
_space_group_name_H-M_alt 'P 4/m m m'
_space_group_IT_number 123
_space_group_name_Hall '-P 4 2'
loop_
_atom_site_label
_atom_site_type_symbol
_atom_site_fract_x
_atom_site_fract_y
_atom_site_fract_z
Li1 Li 0.000 0.000 0.000
Cd1 Cd 0.500 0.500 0.251
Pd1 Pd 0.000 0.000 0.500
```

***

--- two ---
Below is a relaxed LiCd2Pd crystal, with properties calculated at the GGA-PBE level.

```
data_LiCd2Pd
_chemical_formula_sum 'Li1 Cd2 Pd1'
_cell_length_a 4.327
_cell_length_b 4.327
_cell_length_c 3.713
_cell_angle_alpha 90.00
_cell_angle_beta 90.00
_cell_angle_gamma 90.00
_space_group_name_H-M_alt 'P 4/m m m'
_space_group_IT_number 123
_space_group_name_Hall '-P 4 2'
loop_
_atom_site_label
_atom_site_type_symbol
_atom_site_fract_x
_atom_site_fract_y
_atom_site_fract_z
Li1 Li 0.000 0.000 0.000
Cd1 Cd 0.000 0.500 0.500
Pd1 Pd 0.500 0.500 0.000
```

***

Which one sits at the top of the stability order? two does.

***

--- one ---
Below is a relaxed Zn2W crystal, with properties calculated at the GGA-PBE level.

```
data_Zn2W
_chemical_formula_sum 'Zn16 W8'
_cell_length_a 8.007
_cell_length_b 4.340
_cell_length_c 10.850
_cell_angle_alpha 90.00
_cell_angle_beta 108.04
_cell_angle_gamma 90.00
_space_group_name_H-M_alt 'P 1 21/m 1'
_space_group_IT_number 11
_space_group_name_Hall '-P 2yb'
loop_
_atom_site_label
_atom_site_type_symbol
_atom_site_fract_x
_atom_site_fract_y
_atom_site_fract_z
Zn1 Zn 0.051 0.250 0.462
Zn2 Zn 0.077 0.250 0.970
Zn3 Zn 0.265 0.750 0.933
Zn4 Zn 0.280 0.750 0.699
Zn5 Zn 0.392 0.250 0.110
Zn6 Zn 0.392 0.250 0.611
Zn7 Zn 0.425 0.250 0.372
Zn8 Zn 0.431 0.250 0.862
W1 W 0.077 0.250 0.719
W2 W 0.081 0.250 0.222
W3 W 0.248 0.750 0.427
W4 W 0.253 0.750 0.197
```

***

--- two ---
Below is a relaxed Zn2W crystal, with properties calculated at the GGA-PBE level.

```
data_Zn2W
_chemical_formula_sum 'Zn8 W4'
_cell_length_a 4.430
_cell_length_b 8.187
_cell_length_c 5.000
_cell_angle_alpha 90.00
_cell_angle_beta 90.00
_cell_angle_gamma 90.00
_space_group_name_H-M_alt 'P m m n'
_space_group_IT_number 59
loop_
_space_group_symop_operation_xyz
'x,y,z'
'-x,-y,-z'
'-x+1/2,-y+1/2,z'
'x+1/2,y+1/2,-z'
'x+1/2,-y,-z'
'-x+1/2,y,z'
'-x,y+1/2,-z'
'x,-y+1/2,z'
loop_
_atom_site_label
_atom_site_type_symbol
_atom_site_fract_x
_atom_site_fract_y
_atom_site_fract_z
Zn1 Zn 0.250 0.073 0.086
Zn2 Zn 0.250 0.250 0.587
Zn3 Zn 0.250 0.750 0.074
W1 W 0.250 0.580 0.579
```

***

Which one sits at the top of the stability order? one does.

***

--- one ---
Below is a relaxed LiZrTlPt crystal, with properties calculated at the GGA-PBE level.

```
data_LiZrTlPt
_chemical_formula_sum 'Li4 Zr4 Tl4 Pt4'
_cell_length_a 6.616
_cell_length_b 6.616
_cell_length_c 6.616
_cell_angle_alpha 90.00
_cell_angle_beta 90.00
_cell_angle_gamma 90.00
_space_group_name_H-M_alt 'F -4 3 m'
_space_group_IT_number 216
_space_group_name_Hall 'F -4 2 3'
loop_
_atom_site_label
_atom_site_type_symbol
_atom_site_fract_x
_atom_site_fract_y
_atom_site_fract_z
Li1 Li 0.000 0.000 0.000
Zr1 Zr 0.250 0.250 0.750
Tl1 Tl 0.000 0.000 0.500
Pt1 Pt 0.250 0.250 0.250
```

***

--- two ---
Below is a relaxed LiZrTlPt crystal, with properties calculated at the GGA-PBE level.

```
data_LiZrTlPt
_chemical_formula_sum 'Li4 Zr4 Tl4 Pt4'
_cell_length_a 6.592
_cell_length_b 6.592
_cell_length_c 6.592
_cell_angle_alpha 90.00
_cell_angle_beta 90.00
_cell_angle_gamma 90.00
_space_group_name_H-M_alt 'F -4 3 m'
_space_group_IT_number 216
_space_group_name_Hall 'F -4 2 3'
loop_
_atom_site_label
_atom_site_type_symbol
_atom_site_fract_x
_atom_site_fract_y
_atom_site_fract_z
Li1 Li 0.000 0.000 0.000
Zr1 Zr 0.250 0.250 0.750
Tl1 Tl 0.250 0.250 0.250
Pt1 Pt 0.000 0.000 0.500
```

***

Which one sits at the top of the stability order? two does.

***

--- one ---
Below is a relaxed CsErNO crystal, with properties calculated at the GGA-PBE level.

```
data_CsErNO
_chemical_formula_sum 'Cs4 Er4 N4 O4'
_cell_length_a 6.999
_cell_length_b 8.906
_cell_length_c 6.290
_cell_angle_alpha 90.00
_cell_angle_beta 90.00
_cell_angle_gamma 90.00
_space_group_name_H-M_alt 'P c a 21'
_space_group_IT_number 29
_space_group_name_Hall 'P 2c -2ac'
loop_
_atom_site_label
_atom_site_type_symbol
_atom_site_fract_x
_atom_site_fract_y
_atom_site_fract_z
Cs1 Cs 0.069 0.133 0.000
Er1 Er 0.091 0.603 0.984
N1 N 0.121 0.556 0.633
O1 O 0.008 0.185 0.520
```

***

--- two ---
Below is a relaxed CsErNO crystal, with properties calculated at the GGA-PBE level.

```
data_CsErNO
_chemical_formula_sum 'Cs2 Er2 N2 O2'
_cell_length_a 3.930
_cell_length_b 7.910
_cell_length_c 6.386
_cell_angle_alpha 90.00
_cell_angle_beta 90.00
_cell_angle_gamma 90.00
_space_group_name_H-M_alt 'P m c 21'
_space_group_IT_number 26
_space_group_name_Hall 'P 2c -2'
loop_
_atom_site_label
_atom_site_type_symbol
_atom_site_fract_x
_atom_site_fract_y
_atom_site_fract_z
Cs1 Cs 0.000 0.169 0.000
Er1 Er 0.500 0.360 0.521
N1 N 0.000 0.225 0.469
O1 O 0.500 0.416 0.841
```

***

Which one sits at the top of the stability order? two does.

***

--- one ---
Below is a relaxed AgTePbF crystal, with properties calculated at the GGA-PBE level.

```
data_AgTePbF
_chemical_formula_sum 'Ag2 Te2 Pb2 F2'
_cell_length_a 4.267
_cell_length_b 4.267
_cell_length_c 9.916
_cell_angle_alpha 90.00
_cell_angle_beta 90.00
_cell_angle_gamma 90.00
_space_group_name_H-M_alt 'P 4/n m m'
_space_group_IT_number 129
loop_
_space_group_symop_operation_xyz
'x,y,z'
'-x,-y,-z'
'-y+1/2,x,z'
'y+1/2,-x,-z'
'-x+1/2,-y+1/2,z'
'x+1/2,y+1/2,-z'
'y,-x+1/2,z'
'-y,x+1/2,-z'
'x+1/2,-y,-z'
'-x+1/2,y,z'
'-y,-x,-z'
'y,x,z'
'-x,y+1/2,-z'
'x,-y+1/2,z'
'y+1/2,x+1/2,-z'
'-y+1/2,-x+1/2,z'
loop_
_atom_site_label
_atom_site_type_symbol
_atom_site_fract_x
_atom_site_fract_y
_atom_site_fract_z
Ag1 Ag 0.250 0.750 0.000
Te1 Te 0.250 0.250 0.200
Pb1 Pb 0.250 0.250 0.648
F1 F 0.250 0.750 0.500
```

***

--- two ---
Below is a relaxed AgTePbF crystal, with properties calculated at the GGA-PBE level.

```
data_AgTePbF
_chemical_formula_sum 'Ag2 Te2 Pb2 F2'
_cell_length_a 4.167
_cell_length_b 4.167
_cell_length_c 11.617
_cell_angle_alpha 90.00
_cell_angle_beta 90.00
_cell_angle_gamma 90.00
_space_group_name_H-M_alt 'P 4/n m m'
_space_group_IT_number 129
loop_
_space_group_symop_operation_xyz
'x,y,z'
'-x,-y,-z'
'-y+1/2,x,z'
'y+1/2,-x,-z'
'-x+1/2,-y+1/2,z'
'x+1/2,y+1/2,-z'
'y,-x+1/2,z'
'-y,x+1/2,-z'
'x+1/2,-y,-z'
'-x+1/2,y,z'
'-y,-x,-z'
'y,x,z'
'-x,y+1/2,-z'
'x,-y+1/2,z'
'y+1/2,x+1/2,-z'
'-y+1/2,-x+1/2,z'
loop_
_atom_site_label
_atom_site_type_symbol
_atom_site_fract_x
_atom_site_fract_y
_atom_site_fract_z
Ag1 Ag 0.250 0.250 0.136
Te1 Te 0.250 0.250 0.884
Pb1 Pb 0.250 0.250 0.625
F1 F 0.250 0.750 0.500
```

***

Which one sits at the top of the stability order? one does.

***

--- one ---
Below is a relaxed GdTmNO crystal, with properties calculated at the GGA-PBE level.

```
data_GdTmNO
_chemical_formula_sum 'Gd2 Tm2 N2 O2'
_cell_length_a 4.355
_cell_length_b 4.355
_cell_length_c 8.052
_cell_angle_alpha 90.00
_cell_angle_beta 90.00
_cell_angle_gamma 90.00
_space_group_name_H-M_alt 'P 4/n m m'
_space_group_IT_number 129
loop_
_space_group_symop_operation_xyz
'x,y,z'
'-x,-y,-z'
'-y+1/2,x,z'
'y+1/2,-x,-z'
'-x+1/2,-y+1/2,z'
'x+1/2,y+1/2,-z'
'y,-x+1/2,z'
'-y,x+1/2,-z'
'x+1/2,-y,-z'
'-x+1/2,y,z'
'-y,-x,-z'
'y,x,z'
'-x,y+1/2,-z'
'x,-y+1/2,z'
'y+1/2,x+1/2,-z'
'-y+1/2,-x+1/2,z'
loop_
_atom_site_label
_atom_site_type_symbol
_atom_site_fract_x
_atom_site_fract_y
_atom_site_fract_z
Gd1 Gd 0.250 0.250 0.101
Tm1 Tm 0.250 0.750 0.500
N1 N 0.250 0.250 0.571
O1 O 0.250 0.750 0.000
```

***

--- two ---
Below is a relaxed GdTmNO crystal, with properties calculated at the GGA-PBE level.

```
data_GdTmNO
_chemical_formula_sum 'Gd4 Tm4 N4 O4'
_cell_length_a 8.043
_cell_length_b 6.564
_cell_length_c 4.940
_cell_angle_alpha 90.00
_cell_angle_beta 90.00
_cell_angle_gamma 90.00
_space_group_name_H-M_alt 'P b c m'
_space_group_IT_number 57
_space_group_name_Hall '-P 2c 2b'
loop_
_atom_site_label
_atom_site_type_symbol
_atom_site_fract_x
_atom_site_fract_y
_atom_site_fract_z
Gd1 Gd 0.129 0.081 0.250
Tm1 Tm 0.380 0.571 0.250
N1 N 0.131 0.064 0.750
O1 O 0.377 0.597 0.750
```

***

Which one sits at the top of the stability order? two does.

***

--- one ---
Below is a relaxed Gd3Y3Te2Os crystal, with properties calculated at the GGA-PBE level.

```
data_Gd3Y3Te2Os
_chemical_formula_sum 'Gd3 Y3 Te2 Os1'
_cell_length_a 8.3392
_cell_length_b 8.3392
_cell_length_c 4.0775
_cell_angle_alpha 90.00
_cell_angle_beta 90.00
_cell_angle_gamma 120.00
_space_group_name_H-M_alt 'P -6 2 m'
_space_group_IT_number 189
_space_group_name_Hall 'P -6 -2'
loop_
_atom_site_label
_atom_site_type_symbol
_atom_site_fract_x
_atom_site_fract_y
_atom_site_fract_z
Gd1 Gd 0.0000 0.6077 0.0000
Y1 Y 0.0000 0.2400 0.5000
Te1 Te 0.3333 0.6667 0.5000
Os1 Os 0.0000 0.0000 0.0000
```

***

--- two ---
Below is a relaxed Gd3Y3Te2Os crystal, with properties calculated at the GGA-PBE level.

```
data_Gd3Y3Te2Os
_chemical_formula_sum 'Gd3 Y3 Te2 Os1'
_cell_length_a 8.3720
_cell_length_b 8.3720
_cell_length_c 4.0452
_cell_angle_alpha 90.00
_cell_angle_beta 90.00
_cell_angle_gamma 120.00
_space_group_name_H-M_alt 'P -6 2 m'
_space_group_IT_number 189
_space_group_name_Hall 'P -6 -2'
loop_
_atom_site_label
_atom_site_type_symbol
_atom_site_fract_x
_atom_site_fract_y
_atom_site_fract_z
Gd1 Gd 0.0000 0.2406 0.0000
Y1 Y 0.0000 0.6068 0.5000
Te1 Te 0.3333 0.6667 0.0000
Os1 Os 0.0000 0.0000 0.5000
```

***

Which one sits at the top of the stability order? one does.

***

--- one ---
Below is a relaxed PaTeNO crystal, with properties calculated at the GGA-PBE level.

```
data_PaTeNO
_chemical_formula_sum 'Pa4 Te4 N4 O4'
_cell_length_a 5.698
_cell_length_b 8.890
_cell_length_c 5.714
_cell_angle_alpha 90.00
_cell_angle_beta 90.00
_cell_angle_gamma 90.00
_space_group_name_H-M_alt 'P c a 21'
_space_group_IT_number 29
_space_group_name_Hall 'P 2c -2ac'
loop_
_atom_site_label
_atom_site_type_symbol
_atom_site_fract_x
_atom_site_fract_y
_atom_site_fract_z
Pa1 Pa 0.027 0.145 0.000
Te1 Te 0.044 0.610 0.036
N1 N 0.172 0.274 0.325
O1 O 0.244 0.976 0.741
```

***

--- two ---
Below is a relaxed PaTeNO crystal, with properties calculated at the GGA-PBE level.

```
data_PaTeNO
_chemical_formula_sum 'Pa4 Te4 N4 O4'
_cell_length_a 5.890
_cell_length_b 6.140
_cell_length_c 8.050
_cell_angle_alpha 90.00
_cell_angle_beta 90.49
_cell_angle_gamma 90.00
_space_group_name_H-M_alt 'C 1 m 1'
_space_group_IT_number 8
_space_group_name_Hall 'C -2y'
loop_
_atom_site_label
_atom_site_type_symbol
_atom_site_fract_x
_atom_site_fract_y
_atom_site_fract_z
Pa1 Pa 0.000 0.000 0.000
Pa2 Pa 0.003 0.500 0.301
Te1 Te 0.169 0.250 0.647
N1 N 0.168 0.000 0.431
N2 N 0.173 0.500 0.852
O1 O 0.292 0.251 0.145
```

***

Which one sits at the top of the stability order? one does.

***

--- one ---
Below is a relaxed NaNiAgTe crystal, with properties calculated at the GGA-PBE level.

```
data_NaNiAgTe
_chemical_formula_sum 'Na4 Ni4 Ag4 Te4'
_cell_length_a 6.678
_cell_length_b 6.678
_cell_length_c 6.678
_cell_angle_alpha 90.00
_cell_angle_beta 90.00
_cell_angle_gamma 90.00
_space_group_name_H-M_alt 'F -4 3 m'
_space_group_IT_number 216
_space_group_name_Hall 'F -4 2 3'
loop_
_atom_site_label
_atom_site_type_symbol
_atom_site_fract_x
_atom_site_fract_y
_atom_site_fract_z
Na1 Na 0.000 0.000 0.000
Ni1 Ni 0.000 0.000 0.500
Ag1 Ag 0.250 0.250 0.250
Te1 Te 0.250 0.250 0.750
```

***

--- two ---
Below is a relaxed NaNiAgTe crystal, with properties calculated at the GGA-PBE level.

```
data_NaNiAgTe
_chemical_formula_sum 'Na4 Ni4 Ag4 Te4'
_cell_length_a 6.820
_cell_length_b 6.820
_cell_length_c 6.820
_cell_angle_alpha 90.00
_cell_angle_beta 90.00
_cell_angle_gamma 90.00
_space_group_name_H-M_alt 'F -4 3 m'
_space_group_IT_number 216
_space_group_name_Hall 'F -4 2 3'
loop_
_atom_site_label
_atom_site_type_symbol
_atom_site_fract_x
_atom_site_fract_y
_atom_site_fract_z
Na1 Na 0.000 0.000 0.000
Ni1 Ni 0.250 0.250 0.250
Ag1 Ag 0.000 0.000 0.500
Te1 Te 0.250 0.250 0.750
```

***

Which one sits at the top of the stability order? one does.

***

--- one ---
Below is a relaxed SmGdNO crystal, with properties calculated at the GGA-PBE level.

```
data_SmGdNO
_chemical_formula_sum 'Sm4 Gd4 N4 O4'
_cell_length_a 6.749
_cell_length_b 8.203
_cell_length_c 5.033
_cell_angle_alpha 90.00
_cell_angle_beta 90.00
_cell_angle_gamma 90.00
_space_group_name_H-M_alt 'P c a 21'
_space_group_IT_number 29
_space_group_name_Hall 'P 2c -2ac'
loop_
_atom_site_label
_atom_site_type_symbol
_atom_site_fract_x
_atom_site_fract_y
_atom_site_fract_z
Sm1 Sm 0.070 0.123 0.000
Gd1 Gd 0.083 0.625 0.999
N1 N 0.074 0.623 0.499
O1 O 0.091 0.135 0.500
```

***

--- two ---
Below is a relaxed SmGdNO crystal, with properties calculated at the GGA-PBE level.

```
data_SmGdNO
_chemical_formula_sum 'Sm2 Gd2 N2 O2'
_cell_length_a 4.292
_cell_length_b 4.292
_cell_length_c 8.246
_cell_angle_alpha 90.00
_cell_angle_beta 90.00
_cell_angle_gamma 90.00
_space_group_name_H-M_alt 'P 4/n m m'
_space_group_IT_number 129
loop_
_space_group_symop_operation_xyz
'x,y,z'
'-x,-y,-z'
'-y+1/2,x,z'
'y+1/2,-x,-z'
'-x+1/2,-y+1/2,z'
'x+1/2,y+1/2,-z'
'y,-x+1/2,z'
'-y,x+1/2,-z'
'x+1/2,-y,-z'
'-x+1/2,y,z'
'-y,-x,-z'
'y,x,z'
'-x,y+1/2,-z'
'x,-y+1/2,z'
'y+1/2,x+1/2,-z'
'-y+1/2,-x+1/2,z'
loop_
_atom_site_label
_atom_site_type_symbol
_atom_site_fract_x
_atom_site_fract_y
_atom_site_fract_z
Sm1 Sm 0.250 0.250 0.112
Gd1 Gd 0.250 0.750 0.500
N1 N 0.250 0.250 0.620
O1 O 0.250 0.750 0.000
```

***

Which one sits at the top of the stability order? one does.